Below is a relaxed Th5Mn2Te2 crystal, with properties calculated at the PBE-GGA level.

The structure in POSCAR format:
```
Th5Mn2Te2
1.0
8.0914 -3.7954 0.0000
8.0914 3.7954 0.0000
0.0000 0.0000 8.1285
Th Mn Te
10 4 4
Cartesian
0.0000 0.0000 0.0000
6.3036 2.6619 5.4119
6.3036 1.1336 1.3476
9.8793 2.6619 5.4119
9.8793 1.1336 1.3476
8.0914 0.0000 4.0642
6.3036 -1.1336 6.7808
6.3036 -2.6619 2.7166
9.8793 -1.1336 6.7808
9.8793 -2.6619 2.7166
8.0914 2.6453 3.0425
8.0914 1.1502 7.1067
8.0914 -1.1502 1.0217
8.0914 -2.6453 5.0859
3.3455 0.0000 0.0000
4.7460 0.0000 4.0642
11.4369 0.0000 4.0642
12.8374 0.0000 0.0000
```

Results
DFT total energy   -0.267 Ha/atom
SG   Cmce
D(E_F)   17.232 states/eV/cell
Formation energy from raw total energies   -9.6 kcal/mol of atoms